[1]
Here is a relaxed CuTe2Au crystal from the Alexandria database. Energies are from PBE-GGA.

Output
Crystal system ... tetragonal
Formation energy (no corrections) ... -0.02 eV/atom

abc: 6.0938 6.0938 7.4244
angles: 65.77 65.77 90.00
Positions (direct):
1 Te 0.6013 0.1250 0.2500
2 Te 0.1487 0.6250 0.2500
3 Te 0.3750 0.3987 0.7500
4 Te 0.8750 0.8513 0.7500
5 Au 0.0000 0.0000 0.0000
6 Au 0.7500 0.2500 0.5000
7 Cu 0.5000 0.5000 0.0000
8 Cu 0.2500 0.7500 0.5000

[2]
Here is a relaxed Li4Mg5Al2 crystal from the Alexandria database. Energies are from PBE-GGA.

Output
ΔE_f ... -0.011 eV per atom
Crystal system ... monoclinic
Offset from the most stable computed form ... 0.39 eV per formula unit

abc: 5.9254 5.8139 8.2277
angles: 89.76 68.89 59.36
Positions (direct):
1 Li 0.3515 0.7958 0.5013
2 Li 0.6485 0.2042 0.4987
3 Li 0.7505 0.6234 0.8756
4 Li 0.2495 0.3766 0.1244
5 Mg 0.2838 0.1102 0.8175
6 Mg 0.7162 0.8898 0.1825
7 Mg 0.0000 0.5000 0.5000
8 Mg 0.7885 0.1102 0.8175
9 Mg 0.2115 0.8898 0.1825
10 Al 0.2761 0.6169 0.8308
11 Al 0.7239 0.3831 0.1692

[3]
Here is a relaxed Sn3Pb3Au crystal from the Alexandria database. Energies are from PBE-GGA.

Output
ΔE_f ... 0.001 eV per atom
Crystal system ... monoclinic

abc: 5.9989 5.9989 11.7095
angles: 93.99 93.99 105.93
Positions (direct):
1 Sn 0.1370 0.1370 0.8184
2 Sn 0.4326 0.0493 0.2584
3 Sn 0.0493 0.4326 0.2584
4 Sn 0.5674 0.9507 0.7416
5 Sn 0.9507 0.5674 0.7416
6 Sn 0.8630 0.8630 0.1816
7 Pb 0.4091 0.4091 0.6205
8 Pb 0.1766 0.8234 0.5000
9 Pb 0.8234 0.1766 0.5000
10 Pb 0.3019 0.6981 0.0000
11 Pb 0.6981 0.3019 0.0000
12 Pb 0.5909 0.5909 0.3795
13 Au 0.2048 0.2048 0.0625
14 Au 0.7952 0.7952 0.9375

[4]
Here is a relaxed NiP2RhS crystal from the Alexandria database. Energies are from PBE-GGA.

Output
Crystal system ... triclinic
Offset from the most stable computed form ... 0.36 eV per formula unit
Formation energy (no corrections) ... -0.29 eV/atom

abc: 3.5708 4.8217 4.8316
angles: 67.48 81.91 81.50
Positions (direct):
1 Ni 0.7606 0.6868 0.6368
2 P 0.3068 0.7962 0.3377
3 P 0.6419 0.4415 0.1703
4 Rh 0.2401 0.2749 0.9597
5 S 0.7522 0.1485 0.6598

[5]
Here is a relaxed La5CoSb2 crystal from the Alexandria database. Energies are from PBE-GGA.

Output
Crystal system ... orthorhombic
Offset from the most stable computed form ... 0.00 eV per formula unit
Formation energy (no corrections) ... -0.76 eV/atom

abc: 8.3145 9.4197 12.6265
angles: 90.00 90.00 90.00
Positions (direct):
1 La 0.0005 0.2500 0.5000
2 La 0.9995 0.7500 0.5000
3 La 0.5005 0.7500 0.0000
4 La 0.4995 0.2500 0.0000
5 La 0.3011 0.9994 0.5592
6 La 0.6989 0.0006 0.4408
7 La 0.8011 0.0006 0.9408
8 La 0.6989 0.4994 0.4408
9 La 0.1989 0.9994 0.0592
10 La 0.3011 0.5006 0.5592
11 La 0.1989 0.5006 0.0592
12 La 0.8011 0.4994 0.9408
13 La 0.1168 0.2500 0.8116
14 La 0.8832 0.7500 0.1884
15 La 0.6168 0.7500 0.6884
16 La 0.3832 0.2500 0.3116
17 La 0.6161 0.2500 0.6885
18 La 0.3839 0.7500 0.3115
19 La 0.1161 0.7500 0.8115
20 La 0.8839 0.2500 0.1885
21 Co 0.4987 0.2500 0.5002
22 Co 0.5013 0.7500 0.4998
23 Co 0.9987 0.7500 0.9998
24 Co 0.0013 0.2500 0.0002
25 Sb 0.4105 0.5001 0.8243
26 Sb 0.5895 0.4999 0.1757
27 Sb 0.9105 0.4999 0.6757
28 Sb 0.5895 0.0001 0.1757
29 Sb 0.0895 0.5001 0.3243
30 Sb 0.4105 0.9999 0.8243
31 Sb 0.0895 0.9999 0.3243
32 Sb 0.9105 0.0001 0.6757